No. 1
## InHI2 (PBE)

Data for a relaxed structure of InHI2.

Calculated values
Total magnetic moment, Bohr magnetons per cell: 2.00
Energy, eV/atom: -2.054

```
InHI2
1.0
4.493 0.000 0.000
0.000 5.732 0.000
-2.262 0.000 11.137
In H I
2 2 4
Direct
0.163 0.250 0.323
0.837 0.750 0.677
0.027 0.750 0.060
0.973 0.250 0.940
0.196 0.750 0.391
0.427 0.750 0.853
0.573 0.250 0.147
0.804 0.250 0.609
```


No. 2
## Lu2NbZn (PBE)

Data for a relaxed structure of Lu2NbZn.

Calculated values
Total magnetic moment, Bohr magnetons per cell: 2.79
Energy of formation from the pure elements, eV per atom: 0.43
Excess energy over the best structure of this formula in the dataset, eV/atom: 0.4678

```
Lu2NbZn
1.0
3.151 0.000 0.000
-1.576 2.729 0.000
0.000 0.000 32.182
Lu Nb Zn
6 3 3
Direct
0.000 0.000 0.092
0.000 0.000 0.908
0.333 0.667 0.575
0.333 0.667 0.759
0.667 0.333 0.241
0.667 0.333 0.425
0.000 0.000 0.000
0.333 0.667 0.667
0.667 0.333 0.333
0.000 0.000 0.500
0.333 0.667 0.167
0.667 0.333 0.833
```


No. 3
## TbPr4NdSm2 (PBE)

Data for a relaxed structure of TbPr4NdSm2.

Calculated values
Total magnetic moment, Bohr magnetons per cell: 0.00
Energy of formation from the pure elements, eV per atom: 0.01

```
TbPr4NdSm2
1.0
6.352 0.000 0.000
0.000 3.681 0.000
-2.170 0.000 11.952
Tb Pr Nd Sm
1 4 1 2
Direct
0.000 0.000 0.000
0.249 0.500 0.248
0.251 0.000 0.752
0.749 0.000 0.248
0.751 0.500 0.752
0.000 0.500 0.500
0.500 0.000 0.500
0.500 0.500 0.000
```


No. 4
## Ba6P2SF3 (PBE)

Data for a relaxed structure of Ba6P2SF3.

Calculated values
Total magnetic moment, Bohr magnetons per cell: 0.00
Energy, eV/atom: -4.780

```
Ba6P2SF3
1.0
9.362 -2.237 0.000
9.362 2.237 0.000
-1.419 0.000 8.424
Ba P S F
6 2 1 3
Direct
0.002 0.002 0.243
0.330 0.330 0.419
0.334 0.334 0.913
0.666 0.666 0.087
0.670 0.670 0.581
0.998 0.998 0.757
0.164 0.164 0.831
0.836 0.836 0.169
0.500 0.500 0.500
0.169 0.169 0.343
0.500 0.500 0.000
0.831 0.831 0.657
```


No. 5
## AgSbOs2 (PBE)

Data for a relaxed structure of AgSbOs2.

Calculated values
Total magnetic moment, Bohr magnetons per cell: 0.00
Energy, eV/atom: -6.568

```
AgSbOs2
1.0
3.011 0.000 0.000
0.000 4.206 0.000
-1.444 0.000 5.389
Ag Sb Os
1 1 2
Direct
0.000 0.000 0.000
0.000 0.000 0.500
0.381 0.500 0.751
0.619 0.500 0.249
```


No. 6
## LiCdWCl2 (PBE)

Data for a relaxed structure of LiCdWCl2.

Calculated values
Total magnetic moment, Bohr magnetons per cell: 4.46
Energy, eV/atom: -3.327

```
LiCdWCl2
1.0
4.521 0.000 0.000
0.000 4.521 0.000
0.000 0.000 5.457
Li Cd W Cl
1 1 1 2
Direct
0.000 0.000 0.000
0.000 0.000 0.500
0.500 0.500 0.500
0.000 0.500 0.000
0.500 0.000 0.000
```


No. 7
## Nd2CuH (PBE)

Data for a relaxed structure of Nd2CuH.

Calculated values
Total magnetic moment, Bohr magnetons per cell: 0.00
Excess energy over the best structure of this formula in the dataset, eV/atom: 0.1415

```
Nd2CuH
1.0
3.359 0.000 0.000
0.000 3.359 0.000
0.000 0.000 7.162
Nd Cu H
2 1 1
Direct
0.000 0.000 0.237
0.000 0.000 0.763
0.500 0.500 0.500
0.500 0.500 0.000
```


No. 8
## LaSc4Au5 (PBE)

Data for a relaxed structure of LaSc4Au5.

Calculated values
Total magnetic moment, Bohr magnetons per cell: 0.00
Energy of formation from the pure elements, eV per atom: -0.79

```
LaSc4Au5
1.0
3.444 0.000 0.000
0.000 3.444 0.000
0.000 0.000 17.670
La Sc Au
1 4 5
Direct
0.000 0.000 0.000
0.000 0.000 0.213
0.000 0.000 0.404
0.000 0.000 0.596
0.000 0.000 0.787
0.500 0.500 0.126
0.500 0.500 0.309
0.500 0.500 0.500
0.500 0.500 0.691
0.500 0.500 0.874
```


No. 9
## NbCo (PBE)

Data for a relaxed structure of NbCo.

Calculated values
Total magnetic moment, Bohr magnetons per cell: 0.00
Energy of formation from the pure elements, eV per atom: -0.12

```
NbCo
1.0
4.820 0.000 0.000
0.000 4.979 0.000
0.000 0.000 9.623
Nb Co
8 8
Direct
0.134 0.093 0.012
0.143 0.611 0.802
0.357 0.389 0.302
0.366 0.907 0.512
0.634 0.407 0.988
0.643 0.889 0.198
0.857 0.111 0.698
0.866 0.593 0.488
0.135 0.887 0.273
0.165 0.611 0.063
0.335 0.389 0.563
0.365 0.113 0.773
0.635 0.613 0.727
0.665 0.889 0.937
0.835 0.111 0.437
0.865 0.387 0.227
```


No. 10
## Ba3Sn2P4 (PBE)

Data for a relaxed structure of Ba3Sn2P4.

Calculated values
Total magnetic moment, Bohr magnetons per cell: 0.00
Energy of formation from the pure elements, eV per atom: -0.68
Excess energy over the best structure of this formula in the dataset, eV/atom: 0.0839

```
Ba3Sn2P4
1.0
8.051 -4.430 0.000
8.051 4.430 0.000
-0.190 0.000 8.288
Ba Sn P
6 4 8
Direct
0.019 0.981 0.750
0.276 0.467 0.119
0.467 0.276 0.619
0.533 0.724 0.381
0.724 0.533 0.881
0.981 0.019 0.250
0.040 0.324 0.514
0.324 0.040 0.014
0.676 0.960 0.986
0.960 0.676 0.486
0.145 0.294 0.821
0.227 0.679 0.485
0.294 0.145 0.321
0.321 0.773 0.015
0.679 0.227 0.985
0.706 0.855 0.679
0.773 0.321 0.515
0.855 0.706 0.179
```


No. 11
## ZrZnCuAg (PBE)

Data for a relaxed structure of ZrZnCuAg.

Calculated values
Total magnetic moment, Bohr magnetons per cell: 0.00
Energy of formation from the pure elements, eV per atom: -0.14

```
ZrZnCuAg
1.0
6.410 0.000 0.000
0.000 6.410 0.000
0.000 0.000 6.410
Zr Zn Cu Ag
4 4 4 4
Direct
0.000 0.000 0.000
0.000 0.500 0.500
0.500 0.000 0.500
0.500 0.500 0.000
0.250 0.250 0.750
0.250 0.750 0.250
0.750 0.250 0.250
0.750 0.750 0.750
0.250 0.250 0.250
0.250 0.750 0.750
0.750 0.250 0.750
0.750 0.750 0.250
0.000 0.000 0.500
0.000 0.500 0.000
0.500 0.000 0.000
0.500 0.500 0.500
```


No. 12
## YMn2Te (PBE)

Data for a relaxed structure of YMn2Te.

Calculated values
Total magnetic moment, Bohr magnetons per cell: 6.55
Energy, eV/atom: -6.973

```
YMn2Te
1.0
4.321 0.000 0.000
0.000 4.321 0.000
0.000 0.000 4.291
Y Mn Te
1 2 1
Direct
0.000 0.000 0.000
0.000 0.500 0.500
0.500 0.000 0.500
0.500 0.500 0.000
```